Entry 1:
A plane-wave DFT calculation with PBE-GGA was carried out for crystalline NaHfRe2 at its relaxed geometry.

## Properties
Energy of formation in eV/atom: 0.94
N(E_F) in states/eV/atom: 1.525
Size of the total moment in μB/f.u.: 0.00
Space group: Fm-3m
Raw total energy in eV/atom: -8.100
ρ in g/cm3: 13.76

Cell and atoms, written as POSCAR:
```
NaHfRe2
1.0
-3.5448 -2.5249 1.5182
-1.7966 0.8195 4.1649
-4.1859 1.8935 0.3724
Re Hf Na
2 1 1
direct
0.2500 0.2500 0.2500
0.7500 0.7500 0.7500
0.5000 0.5000 0.5000
0.0000 0.0000 0.0000
```

***

Entry 2:
A plane-wave DFT calculation with PBE-GGA was carried out for crystalline Na3HfRe at its relaxed geometry.

## Properties
Energy of formation in eV/atom: 2.25
N(E_F) in states/eV/atom: 0.937
Size of the total moment in μB/f.u.: 0.00
Space group: Pm-3m
Raw total energy in eV/atom: -3.020
ρ in g/cm3: 4.89

Cell and atoms, written as POSCAR:
```
Na3HfRe
1.0
5.2796 0.0000 0.0000
0.0000 5.2796 0.0000
0.0000 0.0000 5.2796
Re Hf Na
1 1 3
direct
0.0000 0.0000 0.0000
0.5000 0.5000 0.5000
0.0000 0.5000 0.0000
0.0000 0.0000 0.5000
0.5000 0.0000 0.0000
```

***

Entry 3:
A plane-wave DFT calculation with PBE-GGA was carried out for crystalline Na3HfRe at its relaxed geometry.

## Properties
Energy of formation in eV/atom: 2.85
N(E_F) in states/eV/atom: 2.327
Size of the total moment in μB/f.u.: 0.00
Space group: Pm-3m
Raw total energy in eV/atom: -2.420
ρ in g/cm3: 4.62

Cell and atoms, written as POSCAR:
```
Na3HfRe
1.0
-4.6233 2.7291 -0.3986
-2.7533 -4.5215 0.9782
0.1611 1.0439 5.2788
Re Hf Na
1 1 3
direct
0.5000 0.5000 0.5000
0.0000 0.0000 0.0000
0.0000 0.5000 0.0000
0.0000 0.0000 0.5000
0.5000 0.0000 0.0000
```

***

Entry 4:
A plane-wave DFT calculation with PBE-GGA was carried out for crystalline NaHf3Re at its relaxed geometry.

## Properties
Energy of formation in eV/atom: 0.63
N(E_F) in states/eV/atom: 1.587
Size of the total moment in μB/f.u.: 0.71
Space group: Pm-3m
Raw total energy in eV/atom: -8.096
ρ in g/cm3: 9.19

Cell and atoms, written as POSCAR:
```
NaHf3Re
1.0
-0.7329 -5.0371 -0.5920
3.7675 -0.9411 3.3436
-3.3954 0.0430 3.8379
Re Hf Na
1 3 1
direct
0.0000 0.0000 0.0000
0.0000 0.5000 0.0000
0.0000 0.0000 0.5000
0.5000 0.0000 0.0000
0.5000 0.5000 0.5000
```

***

Entry 5:
A plane-wave DFT calculation with PBE-GGA was carried out for crystalline NaHfRe3 at its relaxed geometry.

## Properties
Energy of formation in eV/atom: 2.39
N(E_F) in states/eV/atom: 1.906
Size of the total moment in μB/f.u.: 2.53
Space group: Pm-3m
Raw total energy in eV/atom: -7.333
ρ in g/cm3: 10.92

Cell and atoms, written as POSCAR:
```
NaHfRe3
1.0
4.8712 0.0000 0.0000
0.0000 4.8712 0.0000
0.0000 0.0000 4.8712
Re Hf Na
3 1 1
direct
0.0000 0.5000 0.0000
0.0000 0.0000 0.5000
0.5000 0.0000 0.0000
0.0000 0.0000 0.0000
0.5000 0.5000 0.5000
```

***

Entry 6:
A plane-wave DFT calculation with PBE-GGA was carried out for crystalline NaHf3Re at its relaxed geometry.

## Properties
Energy of formation in eV/atom: 2.06
N(E_F) in states/eV/atom: 1.723
Size of the total moment in μB/f.u.: 1.01
Space group: Pm-3m
Raw total energy in eV/atom: -6.661
ρ in g/cm3: 11.47

Cell and atoms, written as POSCAR:
```
NaHf3Re
1.0
-2.5710 3.3563 2.1850
-0.2658 -2.7338 3.8865
3.9960 1.9776 1.6643
Re Hf Na
1 3 1
direct
0.5000 0.5000 0.5000
0.0000 0.5000 0.0000
0.0000 0.0000 0.5000
0.5000 0.0000 0.0000
0.0000 0.0000 0.0000
```

***

Entry 7:
A plane-wave DFT calculation with PBE-GGA was carried out for crystalline NaHfRe2 at its relaxed geometry.

## Properties
Energy of formation in eV/atom: 1.30
N(E_F) in states/eV/atom: 1.108
Size of the total moment in μB/f.u.: 0.00
Space group: I-42d
Raw total energy in eV/atom: -7.742
ρ in g/cm3: 12.76

Cell and atoms, written as POSCAR:
```
NaHfRe2
1.0
-5.7767 -2.6544 3.9642
2.4733 -6.9897 -1.0762
-0.2024 -4.6520 3.6699
Re Hf Na
4 2 2
direct
0.6282 0.1250 0.2500
0.1218 0.6250 0.2500
0.3750 0.3718 0.7500
0.8750 0.8782 0.7500
0.0000 0.0000 0.0000
0.7500 0.2500 0.5000
0.5000 0.5000 0.0000
0.2500 0.7500 0.5000
```

***

Entry 8:
A plane-wave DFT calculation with PBE-GGA was carried out for crystalline NaHfTiRe2 at its relaxed geometry.

## Properties
Energy of formation in eV/atom: 2.27
N(E_F) in states/eV/atom: 1.089
Size of the total moment in μB/f.u.: 0.00
Space group: P4/mmm
Raw total energy in eV/atom: -6.542
ρ in g/cm3: 10.99

Cell and atoms, written as POSCAR:
```
NaHfTiRe2
1.0
-0.1317 -4.5716 -0.8278
0.8668 0.7351 -4.1977
4.5527 -0.2921 0.8890
Na Re Hf Ti
1 2 1 1
direct
0.0000 0.0000 0.0000
0.0000 0.0000 0.5000
0.5000 0.0000 0.0000
0.0000 0.5000 0.0000
0.5000 0.5000 0.5000
```

***

Entry 9:
A plane-wave DFT calculation with PBE-GGA was carried out for crystalline NaHfZr2Re at its relaxed geometry.

## Properties
Energy of formation in eV/atom: 1.98
N(E_F) in states/eV/atom: 1.613
Size of the total moment in μB/f.u.: 1.03
Space group: P4/mmm
Raw total energy in eV/atom: -6.182
ρ in g/cm3: 8.58

Cell and atoms, written as POSCAR:
```
NaHfZr2Re
1.0
-4.1822 1.5039 -1.6998
-0.8851 -4.4569 -1.7655
-2.0987 -1.2060 4.0967
Re Hf Zr Na
1 1 2 1
direct
0.5000 0.5000 0.5000
0.0000 0.5000 0.0000
0.0000 0.0000 0.5000
0.5000 0.0000 0.0000
0.0000 0.0000 0.0000
```

***

Entry 10:
A plane-wave DFT calculation with PBE-GGA was carried out for crystalline NaHfRh2 at its relaxed geometry.

## Properties
Energy of formation in eV/atom: 0.04
N(E_F) in states/eV/atom: 0.596
Size of the total moment in μB/f.u.: 0.00
Space group: I-42d
Raw total energy in eV/atom: -6.452
ρ in g/cm3: 9.02

Cell and atoms, written as POSCAR:
```
NaHfRh2
1.0
-4.7169 -2.3269 4.8049
1.0123 -6.6852 -2.2437
0.3208 -4.8388 3.2527
Rh Hf Na
4 2 2
direct
0.6472 0.1250 0.2500
0.1028 0.6250 0.2500
0.3750 0.3528 0.7500
0.8750 0.8972 0.7500
0.0000 0.0000 0.0000
0.7500 0.2500 0.5000
0.5000 0.5000 0.0000
0.2500 0.7500 0.5000
```

***

Entry 11:
A plane-wave DFT calculation with PBE-GGA was carried out for crystalline NaHf3Rh at its relaxed geometry.

## Properties
Energy of formation in eV/atom: 0.39
N(E_F) in states/eV/atom: 1.991
Size of the total moment in μB/f.u.: 0.04
Space group: Pm-3m
Raw total energy in eV/atom: -7.318
ρ in g/cm3: 8.45

Cell and atoms, written as POSCAR:
```
NaHf3Rh
1.0
-1.2488 4.6381 -1.6062
-3.5173 0.3104 3.6309
3.4235 2.0107 3.1446
Rh Hf Na
1 3 1
direct
0.0000 0.0000 0.0000
0.0000 0.5000 0.0000
0.0000 0.0000 0.5000
0.5000 0.0000 0.0000
0.5000 0.5000 0.5000
```

***

Entry 12:
A plane-wave DFT calculation with PBE-GGA was carried out for crystalline Na3HfRh at its relaxed geometry.

## Properties
Energy of formation in eV/atom: 2.00
N(E_F) in states/eV/atom: 2.156
Size of the total moment in μB/f.u.: 3.09
Space group: Pm-3m
Raw total energy in eV/atom: -2.251
ρ in g/cm3: 2.96

Cell and atoms, written as POSCAR:
```
Na3HfRh
1.0
-3.0756 -4.8390 -0.9800
4.4011 -3.2103 2.0396
-2.2376 0.3370 5.3586
Rh Hf Na
1 1 3
direct
0.5000 0.5000 0.5000
0.0000 0.0000 0.0000
0.0000 0.5000 0.0000
0.0000 0.0000 0.5000
0.5000 0.0000 0.0000
```